(1)
Compound: YAgRh
Source: Alexandria
Functional: PBE
Structure: optimized geometry

Computed properties:
* Fermi-level density of states: 0.729 states/eV per atom
* V: 22.45 A^3/atom
* magnetization: 0.0 μB per formula unit
* crystal system: orthorhombic
* energy: -69.85 eV for the cell shown

POSCAR file:
```
YAgRh
1.0
0.000 6.990 7.551
2.552 0.000 7.551
2.552 6.990 0.000
Y Ag Rh
4 4 4
Cartesian
2.552 1.941 5.597
2.552 1.941 9.504
2.552 12.038 5.597
2.552 12.038 9.504
2.552 4.486 7.551
2.552 6.990 6.050
2.552 6.990 9.051
2.552 9.493 7.551
2.552 4.521 4.709
2.552 9.458 4.709
2.552 4.521 10.392
2.552 9.458 10.392
```

***

(2)
Compound: YAgRh2
Source: Alexandria
Functional: PBE
Structure: optimized geometry

Computed properties:
* Fermi-level density of states: 1.208 states/eV per atom
* V: 17.83 A^3/atom
* magnetization: 0.0 μB per formula unit
* crystal system: orthorhombic
* energy: -25.22 eV for the cell shown

POSCAR file:
```
YAgRh2
1.0
-2.053 2.058 4.222
2.053 -2.058 4.222
2.053 2.058 -4.222
Y Ag Rh
1 1 2
Cartesian
0.000 0.000 0.000
0.000 2.058 2.108
2.053 0.000 2.112
0.000 0.000 4.216
```

***

(3)
Compound: Y7Ag2Rh2
Source: Alexandria
Functional: PBE
Structure: optimized geometry

Computed properties:
* Fermi-level density of states: 1.114 states/eV per atom
* V: 27.80 A^3/atom
* magnetization: 0.0 μB per formula unit
* crystal system: orthorhombic
* energy: -69.15 eV for the cell shown

POSCAR file:
```
Y7Ag2Rh2
1.0
3.949 -5.443 0.000
3.949 5.443 0.000
0.000 0.000 7.113
Y Ag Rh
7 2 2
Cartesian
0.000 0.000 0.000
1.975 2.721 1.821
1.975 2.721 5.291
1.975 -2.721 1.821
1.975 -2.721 5.291
3.949 0.000 1.773
3.949 0.000 5.340
1.416 0.000 3.556
6.483 0.000 3.556
3.949 2.297 0.000
3.949 -2.297 0.000
```

***

(4)
Compound: YAgRh2
Source: Alexandria
Functional: PBE
Structure: optimized geometry

Computed properties:
* Fermi-level density of states: 1.449 states/eV per atom
* V: 18.25 A^3/atom
* magnetization: 1.4 μB per formula unit
* crystal system: trigonal
* energy: -22.91 eV for the cell shown

POSCAR file:
```
YAgRh2
1.0
1.496 0.864 9.417
-1.496 0.864 9.417
0.000 -1.727 9.417
Y Ag Rh
1 1 2
Cartesian
0.000 0.000 0.000
0.000 0.000 21.506
0.000 0.000 7.058
0.000 0.000 14.382
```

***

Taking the records one at a time from the top gives ΔE_f values of -265 -301 -318 277 meV/atom.